The following is a DFT calculation (PBE) of Tb8Sm3Sc4 after structural relaxation.

CIF file:
```
data_Tb8Sm3Sc4
_symmetry_space_group_name_H-M 'C 1 2/m 1'
_symmetry_Int_Tables_number 12
_symmetry_space_group_name_Hall '-C 2y'
_cell_length_a 13.098
_cell_length_b 11.921
_cell_length_c 6.622
_cell_angle_alpha 90.00
_cell_angle_beta 115.74
_cell_angle_gamma 90.00
loop_
_atom_site_label
_atom_site_fract_x
_atom_site_fract_y
_atom_site_fract_z
_atom_site_occupancy
Tb1 0.000 0.207 0.000 1
Tb2 0.000 0.260 0.500 1
Tb3 0.203 0.000 0.161 1
Tb4 0.232 0.500 0.311 1
Sm1 0.000 0.000 0.500 1
Sm2 0.250 0.250 0.000 1
Sc1 0.000 0.500 0.000 1
Sc2 0.000 0.500 0.500 1
Sc3 0.250 0.250 0.500 1
```

Calculated values
- DOS at the Fermi energy: 1.6466 states/eV/atom
- E_form: 376.7 meV/atom
- VASP energy: -141.8 eV for the cell shown